1.
NdSm4Y2Sc | PBE | optimized geometry

a = 5.0602 Å, b = 11.2841 Å, c = 5.0528 Å
α = 63.41°, β = 90.00°, γ = 90.00°
Last column: nearest neighbours and their distance in Å.
Fractional coordinates of all 8 atoms:
Sm (0.0000, 0.2539, 0.2467)  2 Sc 3.54, 2 Nd 3.55, 4 Sm 3.57-3.58, 4 Y 3.60
Sm (0.5000, 0.7463, 0.2531)  2 Nd 3.54-3.55, 2 Sc 3.55, 4 Sm 3.57-3.58, 4 Y 3.59-3.60
Sm (0.5000, 0.2537, 0.7469)  2 Nd 3.54-3.55, 2 Sc 3.55, 4 Sm 3.57-3.58, 4 Y 3.59-3.60
Sm (0.0000, 0.7461, 0.7533)  2 Sc 3.54-3.55, 2 Nd 3.55, 4 Sm 3.57-3.58, 4 Y 3.60
Sc (0.0000, 0.5000, 0.5000)  8 Sm 3.54-3.55, 4 Nd 3.58
Y (0.0000, 0.0000, 0.0000)  4 Y 3.58, 8 Sm 3.60
Y (0.5000, 0.0000, 0.5000)  4 Y 3.58, 8 Sm 3.59-3.60
Nd (0.5000, 0.5000, 0.0000)  8 Sm 3.54-3.55, 4 Sc 3.58

## Properties
The space group is P4/mmm. The calculation puts the formation energy at 0.22 eV/f.u.



2.
NdSm3YSc | PBE | optimized geometry

a = 5.0661 Å, b = 7.9551 Å, c = 10.6747 Å
α = 116.24°, β = 90.00°, γ = 90.00°
Last column: nearest neighbours and their distance in Å.
Fractional coordinates of all 12 atoms:
Y (0.7500, 0.3712, 0.8718)  7 Sm 3.51-3.60, 1 Nd 3.53, 2 Sc 3.58, 2 Y 3.63
Sm (0.2500, 0.6350, 0.4587)  3 Sc 3.47-3.52, 1 Y 3.51, 3 Nd 3.53-3.65, 5 Sm 3.57-3.67
Nd (0.7500, 0.8770, 0.7031)  3 Sc 3.47-3.53, 1 Y 3.53, 8 Sm 3.53-3.65
Sm (0.7500, 0.8757, 0.0446)  1 Sc 3.55, 3 Y 3.55-3.60, 3 Nd 3.59-3.65, 5 Sm 3.59-3.62
Sc (0.2500, 0.1209, 0.6215)  5 Sm 3.47-3.55, 3 Nd 3.47-3.53, 2 Sc 3.53, 2 Y 3.58
Y (0.2500, 0.6288, 0.1282)  7 Sm 3.51-3.60, 1 Nd 3.53, 2 Sc 3.58, 2 Y 3.63
Sm (0.2500, 0.6185, 0.7891)  3 Y 3.55-3.58, 1 Sc 3.55, 6 Sm 3.57-3.62, 2 Nd 3.63
Sc (0.7500, 0.8791, 0.3785)  5 Sm 3.47-3.55, 3 Nd 3.47-3.53, 2 Sc 3.53, 2 Y 3.58
Nd (0.2500, 0.1230, 0.2969)  3 Sc 3.47-3.53, 1 Y 3.53, 8 Sm 3.53-3.65
Sm (0.7500, 0.3650, 0.5413)  3 Sc 3.47-3.52, 1 Y 3.51, 3 Nd 3.53-3.65, 5 Sm 3.57-3.67
Sm (0.7500, 0.3815, 0.2109)  3 Y 3.55-3.58, 1 Sc 3.55, 6 Sm 3.57-3.62, 2 Nd 3.63
Sm (0.2500, 0.1243, 0.9554)  1 Sc 3.55, 3 Y 3.55-3.60, 3 Nd 3.59-3.65, 5 Sm 3.59-3.62

## Properties
The space group is P2_1/m. The calculation puts the formation energy at 0.25 eV/f.u.



3.
NdSmYSc | PBE | optimized geometry

a = 3.8147 Å, b = 5.7003 Å, c = 6.7498 Å
α = 114.98°, β = 73.52°, γ = 90.00°
Last column: nearest neighbours and their distance in Å.
Fractional coordinates of all 4 atoms:
Sm (0.6539, 0.4115, 0.8230)  2 Sc 3.29-3.30, 4 Y 3.46, 1 Nd 3.68
Nd (0.4188, 0.1392, 0.2783)  4 Sc 3.42-3.44, 2 Y 3.64-3.66, 2 Sm 3.68-3.71, 2 Nd 3.81
Sc (0.9200, 0.6423, 0.2846)  2 Y 3.27-3.29, 2 Sm 3.29-3.30, 4 Nd 3.42-3.44
Y (0.1932, 0.8717, 0.7434)  2 Sc 3.27-3.29, 4 Sm 3.46, 2 Nd 3.64-3.66

## Properties
The space group is Cm. The calculation puts the distance to the lowest polymorph of the same formula at 0 meV/atom. The calculation puts the formation energy at 0.38 eV/f.u.



Let's list theoretical density in order: 6.23 6.28 5.63 g/cm3.